(1)
Entry from Alexandria: crystalline DyTaSe2 at its relaxed geometry (GGA-PBE).

Cell lengths 9.3588, 9.3588, 9.3588 Å; angles 21.56, 21.56, 21.56 degrees
Closest atoms and distances in Å follow each position.
Fractional positions:
Dy 0.0000 0.0000 0.0000  2 Se 2.88
Ta 0.5000 0.5000 0.5000  6 Se 2.64
Se 0.1050 0.1050 0.1050  3 Ta 2.64, 1 Dy 2.88
Se 0.8950 0.8950 0.8950  3 Ta 2.64, 1 Dy 2.88

Calculated values
**DOS at the Fermi energy**: 2.8 states/eV per cell
**E**: -25.8 eV per cell
**E_form (uncorrected)**: -0.590 eV per atom

(2)
Entry from Alexandria: crystalline Dy2TaSe at its relaxed geometry (GGA-PBE).

Cell lengths 9.9430, 9.9430, 9.9430 Å; angles 20.17, 20.17, 20.17 degrees
Closest atoms and distances in Å follow each position.
Fractional positions:
Dy 0.0997 0.0997 0.0997  3 Se 2.80, 1 Ta 2.91
Dy 0.9003 0.9003 0.9003  3 Se 2.80, 1 Ta 2.91
Ta 0.0000 0.0000 0.0000  2 Dy 2.91
Se 0.5000 0.5000 0.5000  6 Dy 2.80

Calculated values
**DOS at the Fermi energy**: 4.9 states/eV per cell
**E**: -24.4 eV per cell
**E_form (uncorrected)**: 0.023 eV per atom

(3)
Entry from Alexandria: crystalline DyTa4Se8 at its relaxed geometry (GGA-PBE).

Cell lengths 8.0439, 8.0439, 8.0439 Å; angles 52.34, 52.34, 52.34 degrees
Closest atoms and distances in Å follow each position.
Fractional positions:
Dy 0.0000 0.0000 0.0000  6 Se 2.78
Ta 0.0000 0.0000 0.5000  6 Se 2.62-2.66
Ta 0.0000 0.5000 0.0000  6 Se 2.62-2.66
Ta 0.5000 0.0000 0.0000  6 Se 2.62-2.66
Ta 0.5000 0.5000 0.5000  6 Se 2.58
Se 0.2454 0.2454 0.2454  3 Ta 2.62
Se 0.2575 0.7411 0.7411  3 Ta 2.58-2.66, 1 Dy 2.78
Se 0.2589 0.2589 0.7425  3 Ta 2.58-2.66, 1 Dy 2.78
Se 0.2589 0.7425 0.2589  3 Ta 2.58-2.66, 1 Dy 2.78
Se 0.7411 0.2575 0.7411  3 Ta 2.58-2.66, 1 Dy 2.78
Se 0.7411 0.7411 0.2575  3 Ta 2.58-2.66, 1 Dy 2.78
Se 0.7425 0.2589 0.2589  3 Ta 2.58-2.66, 1 Dy 2.78
Se 0.7546 0.7546 0.7546  3 Ta 2.62

Calculated values
**DOS at the Fermi energy**: 5.4 states/eV per cell
**E**: -91.2 eV per cell
**E_form (uncorrected)**: -0.868 eV per atom

(4)
Entry from Alexandria: crystalline Dy3TaTl3Se8 at its relaxed geometry (GGA-PBE).

Cell lengths 9.2067, 9.2067, 9.2067 Å; angles 52.09, 52.09, 52.09 degrees
Closest atoms and distances in Å follow each position.
Fractional positions:
Dy 0.0000 0.5000 0.5000  6 Se 2.85-2.88
Dy 0.5000 0.0000 0.5000  6 Se 2.85-2.88
Dy 0.5000 0.5000 0.0000  6 Se 2.85-2.88
Ta 0.0000 0.0000 0.0000  6 Se 2.66
Tl 0.0000 0.0000 0.5000  6 Se 3.30
Tl 0.0000 0.5000 0.0000  6 Se 3.30
Tl 0.5000 0.0000 0.0000  6 Se 3.30
Se 0.2197 0.2197 0.7564  1 Ta 2.66, 2 Dy 2.88
Se 0.2197 0.7564 0.2197  1 Ta 2.66, 2 Dy 2.88
Se 0.2436 0.7803 0.7803  1 Ta 2.66, 2 Dy 2.88
Se 0.2645 0.2645 0.2645  3 Dy 2.85
Se 0.7355 0.7355 0.7355  3 Dy 2.85
Se 0.7564 0.2197 0.2197  1 Ta 2.66, 2 Dy 2.88
Se 0.7803 0.2436 0.7803  1 Ta 2.66, 2 Dy 2.88
Se 0.7803 0.7803 0.2436  1 Ta 2.66, 2 Dy 2.88

Calculated values
**DOS at the Fermi energy**: 4.3 states/eV per cell
**E**: -78.8 eV per cell
**E_form (uncorrected)**: -1.210 eV per atom

(5)
Entry from Alexandria: crystalline Tb2DySe4 at its relaxed geometry (GGA-PBE).

Cell lengths 7.0421, 7.0421, 13.8379 Å; angles 90.00, 90.00, 147.24 degrees
Closest atoms and distances in Å follow each position.
Fractional positions:
Tb 0.1300 0.8700 0.5700  6 Se 2.82-2.95
Tb 0.1300 0.8700 0.9300  6 Se 2.82-2.95
Tb 0.8700 0.1300 0.0700  6 Se 2.82-2.95
Tb 0.8700 0.1300 0.4300  6 Se 2.82-2.95
Dy 0.3725 0.6275 0.7500  6 Se 2.88-2.95
Dy 0.6275 0.3725 0.2500  6 Se 2.88-2.95
Se 0.0271 0.9729 0.7500  2 Tb 2.85, 2 Dy 2.88
Se 0.2224 0.7776 0.1230  3 Tb 2.91-2.95, 2 Dy 2.95
Se 0.2224 0.7776 0.3770  3 Tb 2.91-2.95, 2 Dy 2.95
Se 0.5000 0.5000 0.0000  4 Tb 2.82
Se 0.5000 0.5000 0.5000  4 Tb 2.82
Se 0.7776 0.2224 0.6230  3 Tb 2.91-2.95, 2 Dy 2.95
Se 0.7776 0.2224 0.8770  3 Tb 2.91-2.95, 2 Dy 2.95
Se 0.9729 0.0271 0.2500  2 Tb 2.85, 2 Dy 2.88

Calculated values
**DOS at the Fermi energy**: 4.7 states/eV per cell
**E**: -81.3 eV per cell
**E_form (uncorrected)**: -1.835 eV per atom

(6)
Entry from Alexandria: crystalline Tb2Dy6Se3 at its relaxed geometry (GGA-PBE).

Cell lengths 25.3208, 25.3208, 25.3208 Å; angles 8.59, 8.59, 8.59 degrees
Closest atoms and distances in Å follow each position.
Fractional positions:
Tb 0.0559 0.0559 0.0559  6 Dy 3.57-3.59, 6 Tb 3.79
Tb 0.9441 0.9441 0.9441  6 Dy 3.57-3.59, 6 Tb 3.79
Dy 0.1423 0.1423 0.1423  6 Se 2.84-2.86
Dy 0.3150 0.3150 0.3150  9 Dy 3.54-3.79, 3 Tb 3.59
Dy 0.4265 0.4265 0.4265  3 Se 2.90
Dy 0.5735 0.5735 0.5735  3 Se 2.90
Dy 0.6850 0.6850 0.6850  9 Dy 3.54-3.79, 3 Tb 3.59
Dy 0.8577 0.8577 0.8577  6 Se 2.84-2.86
Se 0.2150 0.2150 0.2150  6 Dy 2.84-2.90
Se 0.5000 0.5000 0.5000  6 Dy 2.86
Se 0.7850 0.7850 0.7850  6 Dy 2.84-2.90

Calculated values
**DOS at the Fermi energy**: 10.7 states/eV per cell
**E**: -57.1 eV per cell
**E_form (uncorrected)**: -0.884 eV per atom

(7)
Entry from Alexandria: crystalline Tb3DySe4 at its relaxed geometry (GGA-PBE).

Cell lengths 7.1161, 8.0920, 7.1135 Å; angles 90.00, 109.22, 90.00 degrees
Closest atoms and distances in Å follow each position.
Fractional positions:
Tb 0.0000 0.1246 0.2500  6 Se 2.89-2.90
Tb 0.0000 0.3745 0.7500  6 Se 2.89-2.91
Tb 0.0000 0.6255 0.2500  6 Se 2.89-2.91
Tb 0.0000 0.8754 0.7500  6 Se 2.89-2.90
Tb 0.5000 0.1249 0.7500  6 Se 2.89-2.90
Tb 0.5000 0.8751 0.2500  6 Se 2.89-2.90
Dy 0.5000 0.3746 0.2500  6 Se 2.88-2.89
Dy 0.5000 0.6254 0.7500  6 Se 2.88-2.89
Se 0.2507 0.1256 0.0007  1 Dy 2.88, 5 Tb 2.89-2.90
Se 0.2513 0.3758 0.4999  2 Dy 2.88-2.89, 4 Tb 2.89-2.91
Se 0.2513 0.6242 0.9999  2 Dy 2.88-2.89, 4 Tb 2.89-2.91
Se 0.2507 0.8744 0.5007  1 Dy 2.88, 5 Tb 2.89-2.90
Se 0.7493 0.1256 0.4993  1 Dy 2.88, 5 Tb 2.89-2.90
Se 0.7487 0.3758 0.0001  2 Dy 2.88-2.89, 4 Tb 2.89-2.91
Se 0.7487 0.6242 0.5001  2 Dy 2.88-2.89, 4 Tb 2.89-2.91
Se 0.7493 0.8744 0.9993  1 Dy 2.88, 5 Tb 2.89-2.90

Calculated values
**DOS at the Fermi energy**: 7.1 states/eV per cell
**E**: -93.2 eV per cell
**E_form (uncorrected)**: -1.769 eV per atom

(8)
Entry from Alexandria: crystalline TbDy4Se5 at its relaxed geometry (GGA-PBE).

Cell lengths 7.0595, 7.0595, 7.0595 Å; angles 99.65, 99.65, 131.66 degrees
Closest atoms and distances in Å follow each position.
Fractional positions:
Tb 0.0000 0.0000 0.0000  6 Se 2.89
Dy 0.2008 0.6008 0.8017  6 Se 2.88-2.89
Dy 0.3992 0.2008 0.6000  6 Se 2.88-2.89
Dy 0.6008 0.7992 0.4000  6 Se 2.88-2.89
Dy 0.7992 0.3992 0.1983  6 Se 2.88-2.89
Se 0.0998 0.3015 0.4013  5 Dy 2.88-2.89, 1 Tb 2.89
Se 0.3015 0.9002 0.2017  5 Dy 2.88-2.89, 1 Tb 2.89
Se 0.5000 0.5000 0.0000  4 Dy 2.88, 2 Tb 2.89
Se 0.6985 0.0998 0.7983  5 Dy 2.88-2.89, 1 Tb 2.89
Se 0.9002 0.6985 0.5987  5 Dy 2.88-2.89, 1 Tb 2.89

Calculated values
**DOS at the Fermi energy**: 4.7 states/eV per cell
**E**: -58.0 eV per cell
**E_form (uncorrected)**: -1.752 eV per atom

(9)
Entry from Alexandria: crystalline Tb3Dy4Se8 at its relaxed geometry (GGA-PBE).

Cell lengths 8.1408, 8.1408, 8.1387 Å; angles 119.98, 119.98, 90.01 degrees
Closest atoms and distances in Å follow each position.
Fractional positions:
Tb 0.0000 0.0000 0.0000  6 Se 2.89
Tb 0.0000 0.5000 0.0000  6 Se 2.88
Tb 0.5000 0.0000 0.0000  6 Se 2.88
Dy 0.0000 0.5000 0.5000  6 Se 2.88
Dy 0.5000 0.0000 0.5000  6 Se 2.88
Dy 0.5000 0.5000 0.0000  6 Se 2.87
Dy 0.5000 0.5000 0.5000  6 Se 2.91
Se 0.2471 0.7529 0.5000  3 Dy 2.88-2.91, 2 Tb 2.88
Se 0.2475 0.2475 0.5012  4 Dy 2.87-2.91, 1 Tb 2.89
Se 0.2477 0.2477 0.9942  2 Dy 2.87-2.91, 3 Tb 2.88-2.89
Se 0.2506 0.7494 0.0000  3 Dy 2.87-2.88, 3 Tb 2.88-2.89
Se 0.7494 0.2506 0.0000  3 Dy 2.87-2.88, 3 Tb 2.88-2.89
Se 0.7523 0.7523 0.0058  2 Dy 2.87-2.91, 3 Tb 2.88-2.89
Se 0.7525 0.7525 0.4988  4 Dy 2.87-2.91, 1 Tb 2.89
Se 0.7529 0.2471 0.5000  3 Dy 2.88-2.91, 2 Tb 2.88

Calculated values
**DOS at the Fermi energy**: 6.2 states/eV per cell
**E**: -87.8 eV per cell
**E_form (uncorrected)**: -1.839 eV per atom

(10)
Entry from Alexandria: crystalline Tb2Dy3Se6 at its relaxed geometry (GGA-PBE).

Cell lengths 20.3049, 20.3049, 20.3049 Å; angles 11.65, 11.65, 11.65 degrees
Closest atoms and distances in Å follow each position.
Fractional positions:
Tb 0.0540 0.0540 0.0540  6 Se 2.77-3.03
Tb 0.9460 0.9460 0.9460  6 Se 2.77-3.03
Dy 0.2200 0.2200 0.2200  6 Se 2.86-2.93
Dy 0.5000 0.5000 0.5000  6 Se 2.89
Dy 0.7800 0.7800 0.7800  6 Se 2.86-2.93
Se 0.1397 0.1397 0.1397  6 Dy 2.86-2.89
Se 0.3027 0.3027 0.3027  3 Tb 2.77
Se 0.4184 0.4184 0.4184  3 Dy 2.93, 3 Tb 3.03
Se 0.5816 0.5816 0.5816  3 Dy 2.93, 3 Tb 3.03
Se 0.6973 0.6973 0.6973  3 Tb 2.77
Se 0.8603 0.8603 0.8603  6 Dy 2.86-2.89

Calculated values
**DOS at the Fermi energy**: 4.4 states/eV per cell
**E**: -63.5 eV per cell
**E_form (uncorrected)**: -1.776 eV per atom

(11)
Entry from Alexandria: crystalline TbDy2Se at its relaxed geometry (GGA-PBE).

Cell lengths 10.5810, 10.5810, 10.5810 Å; angles 20.19, 20.19, 20.19 degrees
Closest atoms and distances in Å follow each position.
Fractional positions:
Tb 0.0000 0.0000 0.0000  2 Dy 3.38, 6 Tb 3.71
Dy 0.1086 0.1086 0.1086  3 Se 2.80
Dy 0.8914 0.8914 0.8914  3 Se 2.80
Se 0.5000 0.5000 0.5000  6 Dy 2.80

Calculated values
**DOS at the Fermi energy**: 4.4 states/eV per cell
**E**: -19.5 eV per cell
**E_form (uncorrected)**: -0.541 eV per atom

Q: Number 7 is which compound?
A: Tb3DySe4

Q: Among the records above, which one has the lowest E?
A: Tb3DySe4

Q: Among the records above, which one has the lowest DOS at the Fermi energy?
A: DyTaSe2

Q: Look up the E of the fifth one.
A: -81.3 eV per cell